# 1
Y2OsRh: relaxed, PBE.

Geometry as CIF:
```
data_Y2OsRh
_chemical_formula_sum 'Y6 Os3 Rh3'
_symmetry_space_group_name_H-M 'R -3 m'
_symmetry_Int_Tables_number 166
_symmetry_space_group_name_Hall '-R 3 2"'
_cell_length_a 3.3871
_cell_length_b 3.3871
_cell_length_c 25.3258
_cell_angle_alpha 90.00
_cell_angle_beta 90.00
_cell_angle_gamma 120.00
loop_
_atom_site_label
_atom_site_type_symbol
_atom_site_fract_x
_atom_site_fract_y
_atom_site_fract_z
Y1 Y 0.0000 0.0000 0.2493
Os1 Os 0.0000 0.0000 0.5000
Rh1 Rh 0.0000 0.0000 0.0000
```

---

# 2
YOs2Rh: relaxed, PBE.

Geometry as CIF:
```
data_YOs2Rh
_chemical_formula_sum 'Y1 Os2 Rh1'
_symmetry_space_group_name_H-M 'P 4/m m m'
_symmetry_Int_Tables_number 123
_symmetry_space_group_name_Hall '-P 4 2'
_cell_length_a 2.889
_cell_length_b 2.889
_cell_length_c 8.075
_cell_angle_alpha 90.00
_cell_angle_beta 90.00
_cell_angle_gamma 90.00
loop_
_atom_site_label
_atom_site_type_symbol
_atom_site_fract_x
_atom_site_fract_y
_atom_site_fract_z
Y1 Y 0.000 0.000 0.000
Os1 Os 0.500 0.500 0.284
Rh1 Rh 0.000 0.000 0.500
```

The energy above the most stable polymorph in this dataset comes out at 0.2469 eV/atom.

---

# 3
Y2OsRh: relaxed, PBE.

Geometry as CIF:
```
data_Y2OsRh
_chemical_formula_sum 'Y4 Os2 Rh2'
_symmetry_space_group_name_H-M 'I m m 2'
_symmetry_Int_Tables_number 44
_cell_length_a 3.204
_cell_length_b 4.690
_cell_length_c 11.195
_cell_angle_alpha 90.00
_cell_angle_beta 90.00
_cell_angle_gamma 90.00
loop_
_symmetry_equiv_pos_as_xyz
'x,y,z'
'-x,-y,z'
'-x,y,z'
'x,-y,z'
'x+1/2,y+1/2,z+1/2'
'-x+1/2,-y+1/2,z+1/2'
'-x+1/2,y+1/2,z+1/2'
'x+1/2,-y+1/2,z+1/2'
loop_
_atom_site_label
_atom_site_type_symbol
_atom_site_fract_x
_atom_site_fract_y
_atom_site_fract_z
Y1 Y 0.000 0.000 0.000
Y2 Y 0.000 0.500 0.210
Os1 Os 0.000 0.500 0.745
Rh1 Rh 0.000 0.000 0.432
```

---

Number 1: calculated formation energy -0.0250 eV per atom, total energy -7.9023 eV/atom, ρ 9.324 Mg/m³. Number 2: calculated formation energy 0.2930 eV per atom, total energy -8.7758 eV/atom, ρ 14.102 Mg/m³. Number 3: calculated formation energy -0.2384 eV per atom, total energy -8.1157 eV/atom, ρ 9.298 Mg/m³.